## Tb5ThSb4 (GGA-PBE)

Data for an optimized crystal structure of Tb5ThSb4.

The structure in CIF format:
```
data_Tb5ThSb4
_chemical_formula_sum 'Tb10 Th2 Sb8'
_space_group_name_H-M_alt 'C 1 2/m 1'
_space_group_IT_number 12
_cell_length_a 18.8261
_cell_length_b 4.3588
_cell_length_c 8.5294
_cell_angle_alpha 90.00
_cell_angle_beta 105.99
_cell_angle_gamma 90.00
loop_
_space_group_symop_operation_xyz
'x,y,z'
'-x,-y,-z'
'-x,y,-z'
'x,-y,z'
'x+1/2,y+1/2,z'
'-x+1/2,-y+1/2,-z'
'-x+1/2,y+1/2,-z'
'x+1/2,-y+1/2,z'
loop_
_atom_site_label
_atom_site_type_symbol
_atom_site_fract_x
_atom_site_fract_y
_atom_site_fract_z
_atom_site_occupancy
Tb1 Tb 0.0000 0.0000 0.0000 1
Tb2 Tb 0.1603 0.5000 0.3226 1
Tb3 Tb 0.1804 0.5000 0.8479 1
Th1 Th 0.0000 0.0000 0.5000 1
Sb1 Sb 0.0114 0.5000 0.7665 1
Sb2 Sb 0.1727 0.0000 0.5880 1
```

Summary:
The total moment is 0.0 Bohr magnetons per cell. The calculation puts the calculated volume at 672.8 Å³/cell. The raw formation energy comes out at -0.691 eV/atom.



## Tb2Th2Sb5 (GGA-PBE)

Data for an optimized crystal structure of Tb2Th2Sb5.

The structure in CIF format:
```
data_Tb2Th2Sb5
_chemical_formula_sum 'Tb8 Th8 Sb20'
_space_group_name_H-M_alt 'C m c e'
_space_group_IT_number 64
_space_group_name_Hall '-C 2ac 2'
_cell_length_a 15.7748
_cell_length_b 8.2773
_cell_length_c 8.2949
_cell_angle_alpha 90.00
_cell_angle_beta 90.00
_cell_angle_gamma 90.00
loop_
_atom_site_label
_atom_site_type_symbol
_atom_site_fract_x
_atom_site_fract_y
_atom_site_fract_z
_atom_site_occupancy
Tb1 Tb 0.0000 0.1526 0.1551 1
Th1 Th 0.1934 0.0000 0.5000 1
Sb1 Sb 0.0000 0.0000 0.5000 1
Sb2 Sb 0.1376 0.1534 0.8484 1
```

Summary:
The total moment is 0.0 Bohr magnetons per cell. The calculation puts the calculated volume at 1083.1 Å³/cell. The raw formation energy comes out at -0.876 eV/atom.



## TbThSb (GGA-PBE)

Data for an optimized crystal structure of TbThSb.

The structure in CIF format:
```
data_TbThSb
_chemical_formula_sum 'Tb4 Th4 Sb4'
_space_group_name_H-M_alt 'C m c m'
_space_group_IT_number 63
_space_group_name_Hall '-C 2c 2'
_cell_length_a 5.6292
_cell_length_b 9.5362
_cell_length_c 6.5481
_cell_angle_alpha 90.00
_cell_angle_beta 90.00
_cell_angle_gamma 90.00
loop_
_atom_site_label
_atom_site_type_symbol
_atom_site_fract_x
_atom_site_fract_y
_atom_site_fract_z
_atom_site_occupancy
Tb1 Tb 0.0000 0.0000 0.0000 1
Th1 Th 0.0000 0.3357 0.2500 1
Sb1 Sb 0.0000 0.3278 0.7500 1
```

Summary:
The total moment is 0.0 Bohr magnetons per cell. The calculation puts the calculated volume at 351.5 Å³/cell. The raw formation energy comes out at -0.471 eV/atom.



## Tb5Th3Sb8 (GGA-PBE)

Data for an optimized crystal structure of Tb5Th3Sb8.

The structure in CIF format:
```
data_Tb5Th3Sb8
_chemical_formula_sum 'Tb15 Th9 Sb24'
_space_group_name_H-M_alt 'R -3 m'
_space_group_IT_number 166
_space_group_name_Hall '-R 3 2"'
_cell_length_a 8.8963
_cell_length_b 8.8963
_cell_length_c 21.7206
_cell_angle_alpha 90.00
_cell_angle_beta 90.00
_cell_angle_gamma 120.00
loop_
_atom_site_label
_atom_site_type_symbol
_atom_site_fract_x
_atom_site_fract_y
_atom_site_fract_z
_atom_site_occupancy
Tb1 Tb 0.0000 0.0000 0.0000 1
Tb2 Tb 0.0000 0.0000 0.5000 1
Tb3 Tb 0.0000 0.5000 0.0000 1
Th1 Th 0.0000 0.5000 0.5000 1
Sb1 Sb 0.0000 0.0000 0.2527 1
Sb2 Sb 0.0032 0.5016 0.2516 1
```

Summary:
The total moment is 0.0 Bohr magnetons per cell. The calculation puts the calculated volume at 1488.8 Å³/cell. The raw formation energy comes out at -1.067 eV/atom.



## TbThSb (GGA-PBE)

Data for an optimized crystal structure of TbThSb.

The structure in CIF format:
```
data_TbThSb
_chemical_formula_sum 'Tb1 Th1 Sb1'
_space_group_name_H-M_alt 'P 3 m 1'
_space_group_IT_number 156
_cell_length_a 5.2406
_cell_length_b 5.2406
_cell_length_c 3.8570
_cell_angle_alpha 90.00
_cell_angle_beta 90.00
_cell_angle_gamma 120.00
loop_
_space_group_symop_operation_xyz
'x,y,z'
'-y,x-y,z'
'-x+y,-x,z'
'-y,-x,z'
'-x+y,y,z'
'x,x-y,z'
loop_
_atom_site_label
_atom_site_type_symbol
_atom_site_fract_x
_atom_site_fract_y
_atom_site_fract_z
_atom_site_occupancy
Tb1 Tb 0.0000 0.0000 0.0000 1
Th1 Th 0.3333 0.6667 0.5041 1
Sb1 Sb 0.6667 0.3333 0.1304 1
```

Summary:
The total moment is 0.0 Bohr magnetons per cell. The calculation puts the calculated volume at 91.7 Å³/cell. The raw formation energy comes out at -0.258 eV/atom.



## Tb2ThSb (GGA-PBE)

Data for an optimized crystal structure of Tb2ThSb.

The structure in CIF format:
```
data_Tb2ThSb
_chemical_formula_sum 'Tb2 Th1 Sb1'
_space_group_name_H-M_alt 'P 4/m m m'
_space_group_IT_number 123
_space_group_name_Hall '-P 4 2'
_cell_length_a 3.9362
_cell_length_b 3.9362
_cell_length_c 7.4592
_cell_angle_alpha 90.00
_cell_angle_beta 90.00
_cell_angle_gamma 90.00
loop_
_atom_site_label
_atom_site_type_symbol
_atom_site_fract_x
_atom_site_fract_y
_atom_site_fract_z
_atom_site_occupancy
Tb1 Tb 0.0000 0.0000 0.2195 1
Th1 Th 0.5000 0.5000 0.5000 1
Sb1 Sb 0.5000 0.5000 0.0000 1
```

Summary:
The total moment is 0.0 Bohr magnetons per cell. The calculation puts the calculated volume at 115.6 Å³/cell. The raw formation energy comes out at -0.499 eV/atom.



## TbThSb (GGA-PBE)

Data for an optimized crystal structure of TbThSb.

The structure in CIF format:
```
data_TbThSb
_chemical_formula_sum 'Tb2 Th2 Sb2'
_space_group_name_H-M_alt 'P 4/n m m'
_space_group_IT_number 129
_cell_length_a 4.4871
_cell_length_b 4.4871
_cell_length_c 8.8897
_cell_angle_alpha 90.00
_cell_angle_beta 90.00
_cell_angle_gamma 90.00
loop_
_space_group_symop_operation_xyz
'x,y,z'
'-x,-y,-z'
'-y+1/2,x,z'
'y+1/2,-x,-z'
'-x+1/2,-y+1/2,z'
'x+1/2,y+1/2,-z'
'y,-x+1/2,z'
'-y,x+1/2,-z'
'x+1/2,-y,-z'
'-x+1/2,y,z'
'-y,-x,-z'
'y,x,z'
'-x,y+1/2,-z'
'x,-y+1/2,z'
'y+1/2,x+1/2,-z'
'-y+1/2,-x+1/2,z'
loop_
_atom_site_label
_atom_site_type_symbol
_atom_site_fract_x
_atom_site_fract_y
_atom_site_fract_z
_atom_site_occupancy
Tb1 Tb 0.2500 0.2500 0.1394 1
Th1 Th 0.2500 0.7500 0.5000 1
Sb1 Sb 0.2500 0.2500 0.7868 1
```

Summary:
The total moment is 0.0 Bohr magnetons per cell. The calculation puts the calculated volume at 179.0 Å³/cell. The raw formation energy comes out at -0.671 eV/atom.



## TbTh2Sb (GGA-PBE)

Data for an optimized crystal structure of TbTh2Sb.

The structure in CIF format:
```
data_TbTh2Sb
_chemical_formula_sum 'Tb1 Th2 Sb1'
_space_group_name_H-M_alt 'P 4/m m m'
_space_group_IT_number 123
_space_group_name_Hall '-P 4 2'
_cell_length_a 4.7458
_cell_length_b 4.7458
_cell_length_c 5.1461
_cell_angle_alpha 90.00
_cell_angle_beta 90.00
_cell_angle_gamma 90.00
loop_
_atom_site_label
_atom_site_type_symbol
_atom_site_fract_x
_atom_site_fract_y
_atom_site_fract_z
_atom_site_occupancy
Tb1 Tb 0.0000 0.0000 0.0000 1
Th1 Th 0.0000 0.5000 0.5000 1
Sb1 Sb 0.5000 0.5000 0.0000 1
```

Summary:
The total moment is 0.0 Bohr magnetons per cell. The calculation puts the calculated volume at 115.9 Å³/cell. The raw formation energy comes out at -0.436 eV/atom.



## TbTmTh2Sb5 (GGA-PBE)

Data for an optimized crystal structure of TbTmTh2Sb5.

The structure in CIF format:
```
data_TbTmTh2Sb5
_chemical_formula_sum 'Tb1 Tm1 Th2 Sb5'
_space_group_name_H-M_alt 'P 4/m m m'
_space_group_IT_number 123
_space_group_name_Hall '-P 4 2'
_cell_length_a 5.2191
_cell_length_b 5.2191
_cell_length_c 11.4721
_cell_angle_alpha 90.00
_cell_angle_beta 90.00
_cell_angle_gamma 90.00
loop_
_atom_site_label
_atom_site_type_symbol
_atom_site_fract_x
_atom_site_fract_y
_atom_site_fract_z
_atom_site_occupancy
Tb1 Tb 0.0000 0.0000 0.0000 1
Tm1 Tm 0.0000 0.0000 0.5000 1
Th1 Th 0.5000 0.5000 0.2991 1
Sb1 Sb 0.0000 0.0000 0.2488 1
Sb2 Sb 0.0000 0.5000 0.5000 1
Sb3 Sb 0.5000 0.5000 0.0000 1
```

Summary:
The total moment is 0.0 Bohr magnetons per cell. The calculation puts the calculated volume at 312.5 Å³/cell. The raw formation energy comes out at -0.228 eV/atom.



## Tb2TmThSb4 (GGA-PBE)

Data for an optimized crystal structure of Tb2TmThSb4.

The structure in CIF format:
```
data_Tb2TmThSb4
_chemical_formula_sum 'Tb2 Tm1 Th1 Sb4'
_space_group_name_H-M_alt 'P 1 2/m 1'
_space_group_IT_number 10
_cell_length_a 7.6352
_cell_length_b 4.4236
_cell_length_c 7.6503
_cell_angle_alpha 90.00
_cell_angle_beta 109.49
_cell_angle_gamma 90.00
loop_
_space_group_symop_operation_xyz
'x,y,z'
'-x,-y,-z'
'-x,y,-z'
'x,-y,z'
loop_
_atom_site_label
_atom_site_type_symbol
_atom_site_fract_x
_atom_site_fract_y
_atom_site_fract_z
_atom_site_occupancy
Tb1 Tb 0.0000 0.0000 0.0000 1
Tb2 Tb 0.5000 0.5000 0.0000 1
Tm1 Tm 0.0000 0.5000 0.5000 1
Th1 Th 0.5000 0.0000 0.5000 1
Sb1 Sb 0.2432 0.5000 0.2462 1
Sb2 Sb 0.2445 0.0000 0.7491 1
```

Summary:
The total moment is 0.0 Bohr magnetons per cell. The calculation puts the calculated volume at 243.6 Å³/cell. The raw formation energy comes out at -1.077 eV/atom.